Material: SrCoRhO6
Method: DFT, PBE+U
State: optimized geometry

Properties
- raw total energy (eV per atom) = -5.9950
- volume (Å³ per atom) = 13.476
- crystal system = monoclinic

Lattice parameters (Å, degrees): 5.1021 8.7745 5.4182 90.00 90.16 90.00
Space group C2 (No. 5)
Symmetry-distinct sites (fractional):
Sr1 0.0000 0.0000 0.0000
Co1 0.0000 0.6701 0.5000
Rh1 0.0000 0.3326 0.5000
O1 0.1270 0.5066 0.6908
O2 0.1745 0.8068 0.6952
O3 0.1955 0.1884 0.6989